Material: DyYTeSe2
Method: DFT, PBE
State: relaxed

CIF file:
```
data_DyYTeSe2
_chemical_formula_sum 'Dy2 Y2 Te2 Se4'
_symmetry_space_group_name_H-M 'I 4 m m'
_symmetry_Int_Tables_number 107
_symmetry_space_group_name_Hall 'I 4 -2'
_cell_length_a 4.633
_cell_length_b 4.633
_cell_length_c 14.047
_cell_angle_alpha 90.00
_cell_angle_beta 90.00
_cell_angle_gamma 90.00
loop_
_atom_site_label
_atom_site_fract_x
_atom_site_fract_y
_atom_site_fract_z
Dy1 0.000 0.000 0.000
Y1 0.000 0.000 0.280
Te1 0.000 0.000 0.640
Se1 0.000 0.500 0.390
```

uncorrected formation energy	-1327.5	meV/atom
calculated volume	30.14	Å³/atom
total moment	0.000	μB/atom
total DFT energy (no corrections)	-55.63	eV for the cell shown

---

Material: LiPuGaTc
Method: DFT, PBE
State: relaxed

CIF file:
```
data_LiPuGaTc
_chemical_formula_sum 'Li4 Pu4 Ga4 Tc4'
_symmetry_space_group_name_H-M 'F -4 3 m'
_symmetry_Int_Tables_number 216
_symmetry_space_group_name_Hall 'F -4 2 3'
_cell_length_a 6.496
_cell_length_b 6.496
_cell_length_c 6.496
_cell_angle_alpha 90.00
_cell_angle_beta 90.00
_cell_angle_gamma 90.00
loop_
_atom_site_label
_atom_site_fract_x
_atom_site_fract_y
_atom_site_fract_z
Li1 0.000 0.000 0.000
Pu1 0.250 0.250 0.250
Ga1 0.250 0.250 0.750
Tc1 0.000 0.000 0.500
```

calculated volume	17.13	Å³/atom
total moment	1.175	μB/atom
total DFT energy (no corrections)	-118.36	eV for the cell shown